The following is a DFT calculation (PBE) of a geometry-optimized ScBeMo2 structure.

Structure (POSCAR):
```
ScBeMo2
1.0
2.780 0.000 0.000
0.000 4.312 0.000
-1.010 0.000 5.318
Sc Be Mo
1 1 2
Cartesian
0.000 0.000 0.000
1.654 2.156 1.416
0.121 2.156 3.811
0.859 0.000 2.647
```

D(E_F)	0.732	states/eV per atom
energy	-7.7322	eV per atom
E_form	0.1978	eV per atom

The following is a DFT calculation (PBE) of a geometry-optimized Y2ErAl2 structure.

Structure (POSCAR):
```
Y2ErAl2
1.0
5.606 0.000 0.000
0.000 3.583 0.000
-1.290 0.000 13.312
Y Er Al
4 2 4
Cartesian
0.700 0.896 1.503
0.755 2.687 7.195
3.561 0.896 6.117
3.617 2.687 11.809
0.828 0.896 10.199
3.488 2.687 3.113
0.744 0.896 4.544
0.732 2.687 12.726
3.584 0.896 0.586
3.572 2.687 8.768
```

energy relative to the lowest polymorph listed for this composition	19.1	kJ/mol of atoms
D(E_F)	1.062	states/eV per atom
energy	-5.1323	eV per atom
E_form	-0.1371	eV per atom

The following is a DFT calculation (PBE) of a geometry-optimized BaCd structure.

Structure (POSCAR):
```
BaCd
1.0
4.267 0.000 0.000
0.000 4.267 0.000
0.000 0.000 4.249
Ba Cd
1 1
Cartesian
0.000 0.000 0.000
2.133 2.133 2.125
```

D(E_F)	0.745	states/eV per atom
energy	-1.7423	eV per atom
E_form	-0.3234	eV per atom

The following is a DFT calculation (PBE) of a geometry-optimized AcTb structure.

Structure (POSCAR):
```
AcTb
1.0
3.796 0.000 0.000
0.000 5.359 0.000
0.000 0.000 7.477
Ac Tb
2 2
Cartesian
0.949 1.340 1.007
2.847 4.019 6.470
0.949 1.340 4.606
2.847 4.019 2.872
```

energy relative to the lowest polymorph listed for this composition	0.0	kJ/mol of atoms
D(E_F)	1.371	states/eV per atom
energy	-4.3111	eV per atom
E_form	0.0582	eV per atom

Record-wise mass density values, in g/cm3: 6.40; 4.96; 5.36; 8.43